Density functional theory data (PBE) for a relaxed structure of K2InPt. Values from VASP.

Computed properties:
ΔE_f (eV per atom): 0.06
Total moment (μB per formula unit): 0.00
Calculated volume (A^3/atom): 27.3
Calculated total energy (eV/cell): -10.74
Mass density (g/cm3): 5.91
Crystal system: tetragonal

```
&SYSTEM
  ibrav = 0, nat = 4, ntyp = 3
/
ATOMIC_SPECIES
K 39.10 K.upf
In 114.82 In.upf
Pt 195.08 Pt.upf
ATOMIC_POSITIONS crystal
K 0.000 0.000 0.000
K 0.750 0.250 0.500
In 0.500 0.500 0.000
Pt 0.250 0.750 0.500
CELL_PARAMETERS angstrom
-2.676 2.676 3.808
2.676 -2.676 3.808
2.676 2.676 -3.808
```